(1)
Crystalline KReAs2 at its relaxed geometry, computed with PBE.

Cell lengths 3.0089, 6.6793, 10.1875 Å; angles 90.00, 90.00, 90.00 degrees
Space group Immm (No. 71)
Asymmetric unit:
K1 0.0000 0.0000 0.0000 x2
Re1 0.0000 0.0000 0.5000 x2
As1 0.0000 0.5000 0.1905 x4

## Properties
- ΔE to the lowest computed polymorph (eV/atom) = 0.316


(2)
Crystalline MgUZn2 at its relaxed geometry, computed with PBE.

Cell lengths 5.2224, 5.2224, 2.8738 Å; angles 90.00, 90.00, 90.00 degrees
Space group P4/mmm (No. 123)
Asymmetric unit:
Mg1 0.0000 0.0000 0.0000 x1
U1 0.5000 0.5000 0.0000 x1
Zn1 0.0000 0.5000 0.5000 x2

## Properties
- E (eV for the cell shown) = -14.97


(3)
Crystalline NbSbCI2 at its relaxed geometry, computed with PBE.

Cell lengths 4.8981, 4.8981, 4.7404 Å; angles 90.00, 90.00, 90.00 degrees
Space group P4/mmm (No. 123)
Asymmetric unit:
Nb1 0.0000 0.0000 0.0000 x1
Sb1 0.5000 0.5000 0.0000 x1
C1 0.5000 0.5000 0.5000 x1
I1 0.0000 0.5000 0.5000 x2

## Properties
- ΔE to the lowest computed polymorph (eV/atom) = 0.000


(4)
Crystalline Nd3Er2Tl at its relaxed geometry, computed with PBE.

Cell lengths 17.3654, 6.8670, 6.5158 Å; angles 90.00, 99.05, 90.00 degrees
Space group C2/c (No. 15)
Asymmetric unit:
Nd1 0.0000 0.2282 0.2500 x4
Nd2 0.1692 0.1181 0.0436 x8
Er1 0.1619 0.3903 0.5705 x8
Tl1 0.0000 0.2841 0.7500 x4

## Properties
- ΔE to the lowest computed polymorph (eV/atom) = 0.038


no.,DOS(E_F) (states/eV/cell)
1,3.10
2,4.75
3,2.48
4,22.73